# 1
## TePt2Pb (meta-GGA SCAN)

Data for a PBEsol-optimized structure of TePt2Pb.

Its size of the total moment is 0.00 μB/f.u. The raw total energy is -63.2088 eV/atom. The value obtained for the uncorrected formation energy is 0.15 eV/atom.

Unit cell a=4.743 b=4.743 c=7.058 alpha=90.00 beta=90.00 gamma=90.00
Space group I4/mmm (No. 139)
Unique sites:
1 Te 0.000 0.000 0.000
2 Pt 0.000 0.500 0.250
3 Pb 0.000 0.000 0.500

---

# 2
## As4P5 (meta-GGA SCAN)

Data for a PBEsol-optimized structure of As4P5.

Its size of the total moment is 0.00 μB/f.u. The raw total energy is -14.2623 eV/atom. As for the formation energy: 0.49 eV/atom.

Unit cell a=10.525 b=10.525 c=3.172 alpha=90.00 beta=90.00 gamma=90.00
Space group I4/mmm (No. 139)
Unique sites:
1 As 0.000 0.237 0.000
2 P 0.000 0.000 0.000
3 P 0.191 0.191 0.500

---

# 3
## HPb3F (meta-GGA SCAN)

Data for a PBEsol-optimized structure of HPb3F.

Its size of the total moment is 0.85 μB/f.u. The raw total energy is -46.7362 eV/atom.

Unit cell a=4.996 b=4.996 c=4.996 alpha=90.00 beta=90.00 gamma=90.00
Space group Pm-3m (No. 221)
Unique sites:
1 H 0.000 0.000 0.000
2 Pb 0.000 0.500 0.500
3 F 0.500 0.500 0.500

---

# 4
## TaAsHBr2 (meta-GGA SCAN)

Data for a PBEsol-optimized structure of TaAsHBr2.

Its size of the total moment is 0.68 μB/f.u. The raw total energy is -25.4452 eV/atom.

Unit cell a=5.109 b=5.109 c=4.952 alpha=90.00 beta=90.00 gamma=90.00
Space group P4/mmm (No. 123)
Unique sites:
1 Ta 0.000 0.000 0.000
2 As 0.000 0.000 0.500
3 H 0.500 0.500 0.500
4 Br 0.000 0.500 0.000

---

# 5
## RbAg2PS (meta-GGA SCAN)

Data for a PBEsol-optimized structure of RbAg2PS.

Its size of the total moment is 0.00 μB/f.u. The raw total energy is -20.8453 eV/atom. The value obtained for the uncorrected formation energy is -0.15 eV/atom.

Unit cell a=4.703 b=4.703 c=5.228 alpha=90.00 beta=90.00 gamma=90.00
Space group P4/mmm (No. 123)
Unique sites:
1 Rb 0.000 0.000 0.000
2 Ag 0.000 0.500 0.500
3 P 0.500 0.500 0.500
4 S 0.500 0.500 0.000

---

# 6
## PNCl3 (meta-GGA SCAN)

Data for a PBEsol-optimized structure of PNCl3.

Its size of the total moment is 0.00 μB/f.u. The raw total energy is -7.3195 eV/atom. The value obtained for the uncorrected formation energy is 1.41 eV/atom.

Unit cell a=4.301 b=4.301 c=4.301 alpha=90.00 beta=90.00 gamma=90.00
Space group Pm-3m (No. 221)
Unique sites:
1 P 0.000 0.000 0.000
2 N 0.500 0.500 0.500
3 Cl 0.000 0.500 0.500

---

# 7
## CdHg2Pb (meta-GGA SCAN)

Data for a PBEsol-optimized structure of CdHg2Pb.

Its size of the total moment is 0.00 μB/f.u. The raw total energy is -60.5680 eV/atom. As for the formation energy: 0.06 eV/atom.

Unit cell a=3.737 b=5.506 c=9.616 alpha=90.00 beta=90.00 gamma=90.00
Space group Cmm2 (No. 35)
Unique sites:
1 Cd 0.000 0.000 0.000
2 Hg 0.000 0.000 0.470
3 Hg 0.000 0.500 0.232
4 Pb 0.000 0.500 0.736

---

# 8
## La2AlSe (meta-GGA SCAN)

Data for a PBEsol-optimized structure of La2AlSe.

Its size of the total moment is 0.00 μB/f.u. The raw total energy is -28.8586 eV/atom. The value obtained for the uncorrected formation energy is -0.35 eV/atom.

Unit cell a=7.320 b=7.320 c=7.320 alpha=90.00 beta=90.00 gamma=90.00
Space group F-43m (No. 216)
Unique sites:
1 La 0.000 0.000 0.000
2 La 0.250 0.250 0.250
3 Al 0.250 0.250 0.750
4 Se 0.000 0.000 0.500